(a)
The following is a DFT calculation (meta-GGA SCAN) of a crystal of CrReO4 relaxed with PBEsol.

Results
**Theoretical density**: 8.279 g/cm3

Cell and atoms, written as extended XYZ:
```
6
Lattice="-1.9504 -1.8615 0.8215 1.7843 -3.1497 -2.9007 2.7696 -1.3762 3.4573" Properties=species:S:1:pos:R:3 pbc="T T T"
Re 0.0000 0.0000 0.0000
O 1.5850 -2.6839 2.5168
O 1.0185 -3.7035 -1.1386
O 1.3588 -1.3505 0.1661
O 3.1951 -3.1754 0.3905
Cr 1.3017 -3.1937 0.6891
```



(b)
The following is a DFT calculation (meta-GGA SCAN) of a crystal of CrReO4 relaxed with PBEsol.

Results
**Theoretical density**: 8.286 g/cm3

Cell and atoms, written as extended XYZ:
```
12
Lattice="-2.0897 -2.9171 2.9585 4.6620 -2.5140 1.0447 -1.2056 4.2478 3.1062" Properties=species:S:1:pos:R:3 pbc="T T T"
Cr 2.0936 -2.1781 3.0430
Cr -0.7270 0.9948 4.0664
Re 0.7701 0.3863 0.9249
Re 2.6862 1.3475 3.2260
O -0.5272 -0.8576 4.6738
O 1.8938 -0.3257 2.4357
O -0.9468 2.8090 3.4916
O 2.3134 -3.9923 3.6178
O 1.1242 1.4200 4.3636
O 2.0401 -1.7015 4.9048
O 0.2424 -2.6033 2.7458
O -0.6735 0.5182 2.2046
```



Energies in kJ/mol of atoms, measured from the most stable structure: (a) 5.6; (b) 0.0.



(a)
The following is a DFT calculation (meta-GGA SCAN) of a crystal of CrReO4 relaxed with PBEsol.

Results
**Theoretical density**: 8.280 g/cm3

Cell and atoms, written as extended XYZ:
```
24
Lattice="5.6659 0.0000 0.0000 0.0000 6.4411 0.0000 -2.8329 0.0000 6.6430" Properties=species:S:1:pos:R:3 pbc="T T T"
Cr 2.8329 1.6103 1.5784
Cr 0.0000 4.8308 5.0646
Cr 2.8330 4.8308 4.8733
Cr 0.0000 1.6103 1.7696
Re 1.5659 1.6103 4.9906
Re 1.2670 4.8308 1.6524
Re -1.5659 1.6103 4.9906
Re 4.3989 4.8308 1.6524
O 2.8329 4.8308 2.9200
O 0.0000 1.6103 6.2506
O 0.0000 4.8308 3.1668
O 2.8329 1.6103 6.4976
O 0.0000 4.8308 0.1454
O 2.8329 1.6103 3.4762
O 2.8329 4.8308 0.3924
O 0.0000 1.6103 3.7230
O 1.4447 6.1187 4.9777
O 1.3882 2.8982 1.6653
O -1.4447 6.1187 4.9777
O 4.2777 2.8982 1.6653
O 1.4447 3.5429 4.9777
O 1.3882 0.3224 1.6653
O -1.4447 3.5429 4.9777
O 4.2777 0.3224 1.6653
```



(b)
The following is a DFT calculation (meta-GGA SCAN) of a crystal of CrReO4 relaxed with PBEsol.

Results
**Theoretical density**: 8.233 g/cm3

Cell and atoms, written as extended XYZ:
```
12
Lattice="5.4373 0.0237 -0.0244 -2.5156 4.8204 0.0244 1.6282 2.3211 4.6397" Properties=species:S:1:pos:R:3 pbc="T T T"
Cr 1.4608 2.4220 0.0000
Cr 0.0000 0.0000 0.0000
Re 4.1941 2.2689 2.3076
Re 0.3558 4.8962 2.3320
O -1.2386 4.0501 1.4467
O 2.6051 1.7319 1.2745
O 0.3512 3.0913 3.2173
O 1.9448 5.4333 3.3652
O -0.0473 1.6436 0.9326
O 1.4458 4.1191 0.9326
O 3.1041 3.0460 3.7071
O 4.5972 5.5215 3.7071
```



Energies in kJ/mol of atoms, measured from the most stable structure: (a) 0.0; (b) 1.6.



(a)
The following is a DFT calculation (meta-GGA SCAN) of a crystal of CrSi4O10 relaxed with PBEsol.

Results
**Theoretical density**: 2.598 g/cm3

Cell and atoms, written as extended XYZ:
```
60
Lattice="7.5273 0.0000 0.0000 0.0000 7.5273 0.0000 0.0000 0.0000 14.6335" Properties=species:S:1:pos:R:3 pbc="T T T"
Cr 3.7637 0.0000 1.0582
Cr 0.0000 3.7637 6.2586
Cr 0.0000 3.7637 13.5753
Cr 3.7637 0.0000 8.3749
Si 1.5341 2.1712 9.4188
Si 5.9932 5.3561 9.4188
Si 2.1712 1.5341 12.5314
Si 5.9349 2.2295 9.4188
Si 1.5924 5.2978 9.4188
Si 2.2295 5.9349 12.5314
Si 5.2978 1.5924 12.5314
Si 5.3561 5.9932 12.5314
Si 2.2295 1.5924 5.2147
Si 5.2978 5.9349 5.2147
Si 1.5924 2.2295 2.1020
Si 5.3561 1.5341 5.2147
Si 2.1712 5.9932 5.2147
Si 1.5341 5.3561 2.1020
Si 5.9932 2.1712 2.1020
Si 5.9349 5.2978 2.1020
O 2.4545 1.2131 8.4954
O 5.0729 6.3142 8.4954
O 1.2131 2.4545 13.4548
O 4.9768 1.3092 8.4954
O 2.5505 6.2181 8.4954
O 1.3092 4.9768 13.4548
O 6.2181 2.5505 13.4548
O 6.3142 5.0729 13.4548
O 1.3092 2.5505 6.1381
O 6.2181 4.9768 6.1381
O 2.5505 1.3092 1.1787
O 6.3142 2.4545 6.1381
O 1.2131 5.0729 6.1381
O 2.4545 6.3142 1.1787
O 5.0729 1.2131 1.1787
O 1.8940 0.0347 5.5249
O 4.9768 6.2181 1.1787
O 5.6577 3.7984 9.1086
O 3.7290 1.8697 12.8416
O 7.4926 1.8940 9.1086
O 0.0347 5.6333 9.1086
O 1.8940 7.4926 12.8416
O 5.6333 0.0347 12.8416
O 3.7984 5.6577 12.8416
O 5.6091 5.6091 3.6584
O 5.6819 1.8454 3.6584
O 1.8454 5.6819 3.6584
O 1.9182 1.9182 3.6584
O 5.6819 5.6819 10.9751
O 5.6091 1.9182 10.9751
O 1.9182 5.6091 10.9751
O 1.8454 1.8454 10.9751
O 7.4926 5.6333 1.7919
O 5.6577 3.7290 1.7919
O 1.8697 3.7984 1.7919
O 3.7290 5.6577 5.5249
O 3.7984 1.8697 5.5249
O 0.0347 1.8940 1.7919
O 5.6333 7.4926 5.5249
O 1.8697 3.7290 9.1086
```



(b)
The following is a DFT calculation (meta-GGA SCAN) of a crystal of CrSi4O10 relaxed with PBEsol.

Results
**Theoretical density**: 2.334 g/cm3

Cell and atoms, written as extended XYZ:
```
30
Lattice="7.1394 0.2511 0.0459 -2.8383 7.5793 -0.1253 -1.9957 -3.8651 8.4564" Properties=species:S:1:pos:R:3 pbc="T T T"
Cr 0.2813 0.9183 3.4773
Cr 2.0241 3.0470 4.8997
Si 5.8824 2.0720 0.9566
Si -1.3855 5.9192 1.9969
Si 3.6478 3.8388 2.2691
Si 0.7005 3.7429 1.9474
Si 1.6049 0.2225 6.4296
Si -1.3424 0.1265 6.1078
Si 3.6909 -1.9539 6.3800
Si -3.5770 1.8933 7.4204
O -1.3041 6.3718 0.4378
O -2.6844 4.9840 2.2497
O 4.4829 2.6618 1.5465
O 2.2243 4.0514 1.5047
O -0.1739 3.0594 0.7605
O -0.0269 5.1112 2.4075
O -0.6281 0.7270 1.9159
O 1.4174 -0.3733 3.1254
O 3.3632 3.4083 3.8328
O 0.8078 2.6637 3.2205
O 1.4976 1.3016 5.1565
O -1.0578 0.5570 4.5442
O 0.8879 4.3386 5.2516
O 2.9334 3.2383 6.4611
O 2.3322 -1.1459 5.9694
O 2.4792 0.9060 7.6164
O 0.0810 -0.0861 6.8722
O -2.1776 1.3035 6.8304
O 4.9898 -1.0187 6.1273
O 3.6095 -2.4064 7.9392
```



Energies in kJ/mol of atoms, measured from the most stable structure: (a) 14.3; (b) 0.0.



(a)
The following is a DFT calculation (meta-GGA SCAN) of a crystal of CrOs4 relaxed with PBEsol.

Results
**Theoretical density**: 16.757 g/cm3

Cell and atoms, written as extended XYZ:
```
5
Lattice="-4.6025 0.7974 -0.6227 0.8970 -0.5157 4.5974 2.4675 3.6451 -1.6826" Properties=species:S:1:pos:R:3 pbc="T T T"
Cr 0.0000 0.0000 0.0000
Os 1.2337 1.8226 -0.8413
Os 0.4485 -0.2578 2.2987
Os -2.3013 0.3987 -0.3113
Os -0.6190 1.9634 1.1460
```



(b)
The following is a DFT calculation (meta-GGA SCAN) of a crystal of CrOs4 relaxed with PBEsol.

Results
**Theoretical density**: 19.946 g/cm3

Cell and atoms, written as extended XYZ:
```
5
Lattice="-2.0361 2.2796 2.2129 -3.9237 -1.9060 1.5705 1.0484 -0.3137 4.5052" Properties=species:S:1:pos:R:3 pbc="T T T"
Cr 0.0000 0.0000 0.0000
Os -3.1455 0.4199 6.3253
Os -1.7659 -0.3599 1.9633
Os -1.3668 0.8023 4.3507
Os -3.5446 -0.7424 3.9380
```



Energies in kJ/mol of atoms, measured from the most stable structure: (a) 131.4; (b) 0.0.



(a)
The following is a DFT calculation (meta-GGA SCAN) of a crystal of CrP2Os relaxed with PBEsol.

Results
**Theoretical density**: 9.868 g/cm3

Cell and atoms, written as extended XYZ:
```
4
Lattice="-1.7564 -0.9752 2.0501 -1.8052 -2.1591 -0.5643 3.8162 -5.7619 2.5380" Properties=species:S:1:pos:R:3 pbc="T T T"
Cr 0.2641 -4.5771 2.0678
Os -0.0252 -2.1402 0.9697
P 3.8088 -5.7549 2.5350
P 0.1504 -6.6339 3.0013
```



(b)
The following is a DFT calculation (meta-GGA SCAN) of a crystal of CrP2Os relaxed with PBEsol.

Results
**Theoretical density**: 9.842 g/cm3

Cell and atoms, written as extended XYZ:
```
4
Lattice="2.8302 0.0000 0.0000 -1.4151 2.4476 0.0000 0.0000 0.0000 7.4086" Properties=species:S:1:pos:R:3 pbc="T T T"
Cr 1.4151 0.0000 3.7043
Os 1.4151 0.0000 0.0000
P 0.0000 0.0000 5.4636
P 0.0000 0.0000 1.9450
```



(c)
The following is a DFT calculation (meta-GGA SCAN) of a crystal of CrP2Os relaxed with PBEsol.

Results
**Theoretical density**: 10.320 g/cm3

Cell and atoms, written as extended XYZ:
```
4
Lattice="-0.3650 0.3344 2.8344 2.5534 -3.0754 0.6917 3.2144 2.6906 0.0965" Properties=species:S:1:pos:R:3 pbc="T T T"
Cr 1.2572 -1.5142 0.3406
Os 3.3265 -0.7780 1.9806
P -0.1361 0.1113 1.4298
P 2.2319 0.5929 0.2175
```



Energies in kJ/mol of atoms, measured from the most stable structure: (a) 26.6; (b) 51.7; (c) 0.0.



(a)
The following is a DFT calculation (meta-GGA SCAN) of a crystal of CrRe2Os relaxed with PBEsol.

Results
**Theoretical density**: 18.609 g/cm3

Cell and atoms, written as extended XYZ:
```
4
Lattice="2.7084 0.0000 0.0000 0.0000 2.7084 0.0000 0.0000 0.0000 7.4768" Properties=species:S:1:pos:R:3 pbc="T T T"
Cr 0.0000 0.0000 3.7708
Os 1.3542 1.3542 5.5051
Re 0.0000 0.0000 7.4507
Re 1.3542 1.3542 1.9655
```



(b)
The following is a DFT calculation (meta-GGA SCAN) of a crystal of CrRe2Os relaxed with PBEsol.

Results
**Theoretical density**: 18.597 g/cm3

Cell and atoms, written as extended XYZ:
```
4
Lattice="2.6958 0.0000 0.0000 0.0000 2.6958 0.0000 0.0000 0.0000 7.5521" Properties=species:S:1:pos:R:3 pbc="T T T"
Cr 1.3479 1.3479 0.0000
Os 1.3479 1.3479 3.7761
Re 0.0000 0.0000 5.7358
Re 0.0000 0.0000 1.8163
```



Energies in kJ/mol of atoms, measured from the most stable structure: (a) 0.0; (b) 2.6.